Entry 1:
This record from the Alexandria database describes a relaxed Ce6Cd2Bi crystal. The functional is PBE.

Unit cell a=9.1810 b=9.1810 c=3.1409 alpha=90.00 beta=90.00 gamma=120.00
Space group P6/mmm (No. 191)
Inequivalent atoms, fractional coordinates:
Ce1 0.0000 0.3433 0.0000 x6
Cd1 0.3333 0.6667 0.5000 x2
Bi1 0.0000 0.0000 0.5000 x1

Computed properties:
- E_tot: -4.71 eV/atom
- Total magnetization: 0.460 μB/atom
- Crystal system: hexagonal
- DFT formation energy: -0.115 eV/atom

***

Entry 2:
This record from the Alexandria database describes a relaxed Ce4CdBi3 crystal. The functional is PBE.

Unit cell a=14.846 b=5.828 c=6.178 alpha=90.00 beta=109.34 gamma=90.00
Space group C2/m (No. 12)
Inequivalent atoms, fractional coordinates:
Ce1 0.102 0.000 0.060 x4
Ce2 0.245 0.500 0.299 x4
Cd1 0.000 0.000 0.500 x2
Bi1 0.000 0.500 0.000 x2
Bi2 0.157 0.500 0.725 x4

Computed properties:
- E_tot: -4.82 eV/atom
- Total magnetization: 0.751 μB/atom
- Crystal system: monoclinic
- DFT formation energy: -0.281 eV/atom

***

Entry 3:
This record from the Alexandria database describes a relaxed Ce3CdBi3 crystal. The functional is PBE.

Unit cell a=9.3759 b=9.3759 c=6.3474 alpha=90.00 beta=90.00 gamma=120.00
Space group P6_3/m (No. 176)
Inequivalent atoms, fractional coordinates:
Ce1 0.0819 0.4095 0.2500 x6
Cd1 0.3333 0.6667 0.7500 x2
Bi1 0.0608 0.3260 0.7500 x6

Computed properties:
- E_tot: -4.78 eV/atom
- Total magnetization: 0.477 μB/atom
- Crystal system: hexagonal
- DFT formation energy: -0.447 eV/atom

***

Entry 4:
This record from the Alexandria database describes a relaxed Ce4CdBi crystal. The functional is PBE.

Unit cell a=5.130 b=6.346 c=9.534 alpha=90.00 beta=90.00 gamma=90.00
Space group Immm (No. 71)
Inequivalent atoms, fractional coordinates:
Ce1 0.000 0.242 0.178 x8
Cd1 0.000 0.500 0.500 x2
Bi1 0.000 0.000 0.500 x2

Computed properties:
- E_tot: -4.92 eV/atom
- Total magnetization: 0.410 μB/atom
- Crystal system: orthorhombic
- DFT formation energy: -0.166 eV/atom